Density functional theory data (PBE) for a relaxed K2TaP crystal.

POSCAR file:
```
K2TaP
1.0
-1.9866 10.4279 1.2758
-3.2736 9.9918 -1.9399
-3.3232 -0.2137 1.3590
P K Ta
1 2 1
Direct
0.7500 0.7500 0.7500
0.0991 0.0991 0.8917
0.4009 0.4009 0.6083
0.2500 0.2500 0.2500
```

The total magnetic moment comes out at 0.131 μB per atom. The density of states at the Fermi level comes out at 0.788 states/eV per atom. As for the formation energy: 0.14 eV/atom.

Density functional theory data (PBE) for a relaxed CaAg4Hg4 crystal.

POSCAR file:
```
CaAg4Hg4
1.0
7.4755 0.0000 0.0000
0.0000 7.4755 0.0000
0.0000 0.0000 8.1231
Ag Hg Ca
8 8 2
Direct
0.1900 0.5000 0.2006
0.3100 0.0000 0.2994
0.6900 0.0000 0.2994
0.5000 0.8100 0.7994
0.8100 0.5000 0.2006
0.0000 0.6900 0.7006
0.5000 0.1900 0.7994
0.0000 0.3100 0.7006
0.0000 0.2203 0.3551
0.2203 0.0000 0.6449
0.5000 0.2797 0.1449
0.2797 0.5000 0.8551
0.7203 0.5000 0.8551
0.5000 0.7203 0.1449
0.7797 0.0000 0.6449
0.0000 0.7797 0.3551
0.5000 0.5000 0.5000
0.0000 0.0000 0.0000
```

The total magnetic moment comes out at 0.000 μB per atom. The density of states at the Fermi level comes out at 0.235 states/eV per atom. As for the formation energy: 0.04 eV/atom.

Density functional theory data (PBE) for a relaxed Tb3Ni6Sn5 crystal.

POSCAR file:
```
Tb3Ni6Sn5
1.0
4.2208 0.0000 1.1545
1.6099 7.6148 2.4070
0.0400 0.0342 8.1467
Sn Tb Ni
5 3 6
Direct
0.6696 0.9878 0.6729
0.3304 0.0122 0.3271
0.6696 0.6729 0.9878
0.3304 0.3271 0.0122
0.0000 0.5000 0.5000
0.3125 0.6875 0.6875
0.0000 0.0000 0.0000
0.6875 0.3125 0.3125
0.5000 0.3182 0.6818
0.1155 0.1613 0.6077
0.1155 0.6077 0.1613
0.8845 0.3923 0.8387
0.8845 0.8387 0.3923
0.5000 0.6818 0.3182
```

The total magnetic moment comes out at 0.000 μB per atom. The density of states at the Fermi level comes out at 0.811 states/eV per atom. As for the formation energy: -0.52 eV/atom.

Which formula does entry 3 have? Tb3Ni6Sn5